Here is a crystal of LiPW relaxed with PBEsol from Alexandria. Energies are from meta-GGA SCAN.

## Properties
E	-164.56	eV for the cell shown
energy above the lowest structure with this stoichiometry	0.0	kJ/mol of formula units

a = 3.0570 Å, b = 3.0570 Å, c = 8.1819 Å
α = 90.00°, β = 90.00°, γ = 90.00°
Closest atoms and distances in Å follow each position.
Space group I4mm (No. 107)
Symmetry-distinct sites (fractional):
Li: 0.0000 0.0000 0.0000 (multiplicity 2)  4 P 2.50, 5 W 2.55-2.66
P: 0.0000 0.0000 0.6537 (multiplicity 2)  4 Li 2.50, 5 W 2.52-2.80
W: 0.0000 0.0000 0.3114 (multiplicity 2)  5 P 2.52-2.80, 5 Li 2.55-2.66